## MnNbRh6 (PBE)

Data for an optimized crystal structure of MnNbRh6.

Computed properties:
The raw total energy is -8.232 eV per atom. For the energy relative to the elements, the calculation gives -0.314 eV/atom. The density of states at the Fermi level comes out at 8.815 states/eV/f.u.

Cell lengths 3.858, 5.476, 5.476 Å; angles 90.00, 90.00, 90.00 degrees
Site moments in Bohr magnetons follow the coordinates.
Positions (direct):
Mn  0.500  0.500  0.500  3.38
Nb  0.500  0.000  0.000  0.00
Rh  0.000  0.747  0.253  -0.03
Rh  0.000  0.253  0.747  -0.03
Rh  0.000  0.747  0.747  -0.03
Rh  0.000  0.253  0.253  -0.03
Rh  0.500  0.500  0.000  -0.06
Rh  0.500  0.000  0.500  -0.06